# 1
Here is an optimized crystal structure of In2SiSb from Alexandria. Energies are from PBE-GGA.

Output
- Space group: Fm-3m, No. 225
- Formation energy from raw total energies: 0.354 eV per atom

abc: 7.308 7.308 7.308
angles: 90.00 90.00 90.00
Atoms (fractional coordinates):
1 In 0.250 0.250 0.250
2 In 0.250 0.250 0.750
3 In 0.250 0.750 0.250
4 In 0.250 0.750 0.750
5 In 0.750 0.250 0.250
6 In 0.750 0.250 0.750
7 In 0.750 0.750 0.250
8 In 0.750 0.750 0.750
9 Si 0.000 0.000 0.000
10 Si 0.000 0.500 0.500
11 Si 0.500 0.000 0.500
12 Si 0.500 0.500 0.000
13 Sb 0.000 0.000 0.500
14 Sb 0.000 0.500 0.000
15 Sb 0.500 0.000 0.000
16 Sb 0.500 0.500 0.500

# 2
Here is an optimized crystal structure of Er2ZnIr from Alexandria. Energies are from PBE-GGA.

Output
- ΔE_f: -0.68 eV per atom
- Space group: P2_1/m, No. 11

abc: 5.645 4.377 7.542
angles: 90.00 110.77 90.00
Atoms (fractional coordinates):
1 Er 0.208 0.250 0.437
2 Er 0.231 0.250 0.921
3 Er 0.769 0.750 0.079
4 Er 0.792 0.750 0.563
5 Zn 0.340 0.750 0.214
6 Zn 0.660 0.250 0.786
7 Ir 0.352 0.750 0.715
8 Ir 0.648 0.250 0.285

# 3
Here is an optimized crystal structure of ZrTiCo2 from Alexandria. Energies are from PBE-GGA.

Output
- ΔE_f: -0.32 eV per atom
- Space group: P4/mmm, No. 123

abc: 2.980 2.980 6.563
angles: 90.00 90.00 90.00
Atoms (fractional coordinates):
1 Zr 0.000 0.000 0.000
2 Ti 0.000 0.000 0.500
3 Co 0.500 0.500 0.285
4 Co 0.500 0.500 0.715

Going through the records in order, we get ρ values of 6.46 11.29 7.32 g/cm3.
Going through the records in order, we get energy above the lowest structure with this stoichiometry values of 190 0 3 meV per atom.